No. 1
Ho3NiAg | PBE | optimized geometry

## Properties
The space group is C2/m. The calculation puts the total energy at -4.739 eV/atom. The formation enthalpy at 0 K comes out at -0.266 eV per atom. Its total magnetization is 0.00 μB per formula unit. The energy above the most stable polymorph in this dataset comes out at 0 meV per atom. The density of states at the Fermi level comes out at 5.37 states/eV/f.u.

Cell lengths 5.9542, 5.9542, 8.4819 Å; angles 112.66, 112.66, 65.45 degrees
Fractional positions:
Ho1 0.0312 0.0312 0.2268
Ho2 0.2906 0.2906 0.6841
Ho3 0.3189 0.3189 0.1270
Ho4 0.6811 0.6811 0.8730
Ho5 0.7094 0.7094 0.3159
Ho6 0.9688 0.9688 0.7732
Ni1 0.3049 0.6951 0.0000
Ni2 0.6951 0.3049 0.0000
Ag1 0.2832 0.7168 0.5000
Ag2 0.7168 0.2832 0.5000

No. 2
Rh4WCl | PBE | optimized geometry

## Properties
The space group is F-43m. The calculation puts the total energy at -6.639 eV/atom. Its total magnetization is 0.00 μB per formula unit. The value obtained for the formation energy from raw total energies is 0.728 eV per atom. The density of states at the Fermi level comes out at 7.71 states/eV/f.u.

Cell lengths 5.1278, 5.1278, 5.1278 Å; angles 60.00, 60.00, 60.00 degrees
Fractional positions:
Rh1 0.1252 0.1252 0.1252
Rh2 0.1252 0.1252 0.6244
Rh3 0.1252 0.6244 0.1252
Rh4 0.6244 0.1252 0.1252
W1 0.5000 0.5000 0.5000
Cl1 0.7500 0.7500 0.7500